Below is an optimized crystal structure of PuBi5Rh3, with properties calculated at the PBE level.

a b c (Å): 7.511 7.511 9.948
angles (deg): 72.66 72.66 73.50
Each line ends with the local moment (μB).
Atoms (fractional coordinates):
Bi 0.943 0.351 0.305  -0.03
Bi 0.764 0.764 0.040  0.00
Bi 0.649 0.057 0.695  -0.03
Bi 0.057 0.649 0.695  -0.03
Bi 0.699 0.301 0.000  0.00
Bi 0.236 0.236 0.960  0.00
Bi 0.578 0.578 0.628  0.03
Bi 0.301 0.699 0.000  0.00
Bi 0.351 0.943 0.305  -0.03
Bi 0.422 0.422 0.372  0.03
Pu 0.905 0.905 0.297  5.16
Pu 0.095 0.095 0.703  5.16
Rh 0.670 0.670 0.835  0.03
Rh 0.328 0.328 0.661  -0.12
Rh 0.330 0.330 0.165  0.03
Rh 0.672 0.672 0.339  -0.12
Rh 0.000 0.000 0.000  -0.16
Rh 0.000 0.000 0.500  -0.21

Calculated values
Total energy, eV/cell: -113.19
D(E_F), states/eV per atom: 1.685
Space group: C2/m

Below is an optimized crystal structure of Pu4Bi8Rh3, with properties calculated at the PBE level.

a b c (Å): 4.616 4.584 18.765
angles (deg): 90.03 90.00 90.00
Each line ends with the local moment (μB).
Atoms (fractional coordinates):
Bi 0.000 0.000 0.754  0.01
Bi 0.499 0.000 0.589  -0.03
Bi 0.500 0.499 0.246  0.01
Bi 0.000 0.500 0.411  0.03
Bi 0.500 0.999 0.080  -0.10
Bi 0.500 0.500 0.755  0.00
Bi 0.000 0.999 0.246  -0.01
Bi 0.000 0.501 0.920  0.10
Rh 0.000 0.001 0.001  -0.01
Rh 0.501 0.499 0.499  -0.01
Rh 0.999 0.000 0.501  -0.04
Pu 0.500 0.999 0.387  -5.24
Pu 0.000 0.500 0.107  5.22
Pu 0.000 0.500 0.613  5.24
Pu 0.500 0.001 0.892  -5.23

Calculated values
Total energy, eV/cell: -115.35
D(E_F), states/eV per atom: 3.754
Space group: P1

Below is an optimized crystal structure of Pu6Bi3Rh, with properties calculated at the PBE level.

a b c (Å): 8.536 8.536 8.536
angles (deg): 109.76 109.76 109.76
Each line ends with the local moment (μB).
Atoms (fractional coordinates):
Bi 0.404 0.101 0.249  0.00
Bi 0.751 0.596 0.899  0.00
Bi 0.596 0.899 0.751  0.00
Bi 0.249 0.404 0.101  0.00
Bi 0.899 0.751 0.596  0.00
Bi 0.101 0.249 0.404  0.00
Pu 0.150 0.630 0.408  -3.96
Pu 0.133 0.656 0.905  3.98
Pu 0.630 0.408 0.150  -3.96
Pu 0.370 0.592 0.850  -3.96
Pu 0.095 0.867 0.344  3.98
Pu 0.344 0.095 0.867  3.98
Pu 0.656 0.905 0.133  3.98
Pu 0.592 0.850 0.370  -3.96
Pu 0.867 0.344 0.095  3.98
Pu 0.905 0.133 0.656  3.98
Pu 0.408 0.150 0.630  -3.96
Pu 0.850 0.370 0.592  -3.96
Rh 0.500 0.500 0.500  0.10
Rh 0.000 0.000 0.000  -0.06

Calculated values
Total energy, eV/cell: -212.82
D(E_F), states/eV per atom: 2.785
Space group: R-3

Below is an optimized crystal structure of PuBi3Rh2, with properties calculated at the PBE level.

a b c (Å): 5.665 8.010 8.010
angles (deg): 120.00 90.00 90.00
Each line ends with the local moment (μB).
Atoms (fractional coordinates):
Bi 0.267 0.167 0.334  -0.03
Bi 0.267 0.167 0.833  -0.03
Bi 0.733 0.833 0.167  -0.03
Bi 0.733 0.833 0.666  -0.03
Bi 0.733 0.334 0.167  -0.03
Bi 0.267 0.666 0.833  -0.03
Pu 0.748 0.333 0.667  5.21
Pu 0.252 0.667 0.333  5.21
Rh 0.000 0.500 0.000  -0.19
Rh 0.000 0.500 0.500  -0.19
Rh 0.000 0.000 0.000  -0.04
Rh 0.000 0.000 0.500  -0.19

Calculated values
Total energy, eV/cell: -83.60
D(E_F), states/eV per atom: 1.615
Space group: P-3m1

no.,calculated formation energy (meV/atom)
1,-89.5
2,-328.0
3,-142.2
4,-187.4